# 1
Material: Nd2Pa4Ge3N2
Method: DFT, PBE
State: relaxed

Summary:
- V: 22.99 Å³ per atom
- Calculated total energy: -87.54 eV per cell

Lattice parameters (Å, degrees): 12.422 12.422 12.422 158.69 158.69 30.31
Sites, in units of the cell vectors:
1 Nd 0.199 0.199 0.000
2 Nd 0.801 0.801 0.000
3 Pa 0.081 0.581 0.500
4 Pa 0.419 0.919 0.500
5 Pa 0.581 0.081 0.500
6 Pa 0.919 0.419 0.500
7 Ge 0.330 0.330 0.000
8 Ge 0.500 0.500 0.000
9 Ge 0.670 0.670 0.000
10 N 0.089 0.089 0.000
11 N 0.911 0.911 0.000

=====

# 2
Material: UGa5
Method: DFT, PBE
State: relaxed

Summary:
- Energy above the most stable polymorph in this dataset: 13.9 kJ/mol of atoms
- Formation enthalpy at 0 K: 38 meV/atom
- V: 19.16 Å³ per atom
- Calculated total energy: -26.19 eV per cell

Lattice parameters (Å, degrees): 5.558 5.558 4.298 90.00 90.00 120.00
Sites, in units of the cell vectors:
1 U 0.000 0.000 0.000
2 Ga 0.000 0.612 0.500
3 Ga 0.333 0.667 0.000
4 Ga 0.388 0.388 0.500
5 Ga 0.612 0.000 0.500
6 Ga 0.667 0.333 0.000

=====

# 3
Material: Tb4NdS6
Method: DFT, PBE
State: relaxed

Summary:
- V: 22.88 Å³ per atom
- Calculated total energy: -141.28 eV per cell

Lattice parameters (Å, degrees): 6.761 6.761 19.988 90.00 90.00 146.57
Sites, in units of the cell vectors:
1 Tb 0.092 0.908 0.627
2 Tb 0.092 0.908 0.873
3 Tb 0.361 0.639 0.540
4 Tb 0.361 0.639 0.960
5 Tb 0.639 0.361 0.040
6 Tb 0.639 0.361 0.460
7 Tb 0.908 0.092 0.127
8 Tb 0.908 0.092 0.373
9 Nd 0.153 0.847 0.250
10 Nd 0.847 0.153 0.750
11 S 0.000 0.000 0.000
12 S 0.000 0.000 0.500
13 S 0.187 0.813 0.750
14 S 0.269 0.731 0.089
15 S 0.269 0.731 0.411
16 S 0.452 0.548 0.666
17 S 0.452 0.548 0.834
18 S 0.548 0.452 0.166
19 S 0.548 0.452 0.334
20 S 0.731 0.269 0.589
21 S 0.731 0.269 0.911
22 S 0.813 0.187 0.250

=====

# 4
Material: CsTlSb2Te
Method: DFT, PBE
State: relaxed

Summary:
- Energy above the most stable polymorph in this dataset: 73.9 kJ/mol of atoms
- V: 52.66 Å³ per atom
- Calculated total energy: -9.54 eV per cell

Lattice parameters (Å, degrees): 6.335 6.335 6.561 90.00 90.00 90.00
Sites, in units of the cell vectors:
1 Cs 0.000 0.000 0.000
2 Tl 0.500 0.500 0.500
3 Sb 0.000 0.500 0.000
4 Sb 0.500 0.000 0.000
5 Te 0.000 0.000 0.500

=====

# 5
Material: Y7Cd2Cu2
Method: DFT, PBE
State: relaxed

Summary:
- Formation enthalpy at 0 K: -24 meV/atom
- V: 28.70 Å³ per atom
- Calculated total energy: -55.53 eV per cell

Lattice parameters (Å, degrees): 6.870 6.870 7.114 90.00 90.00 109.90
Sites, in units of the cell vectors:
1 Y 0.000 0.000 0.000
2 Y 0.000 0.500 0.257
3 Y 0.000 0.500 0.743
4 Y 0.500 0.000 0.257
5 Y 0.500 0.000 0.743
6 Y 0.500 0.500 0.244
7 Y 0.500 0.500 0.756
8 Cd 0.174 0.174 0.500
9 Cd 0.826 0.826 0.500
10 Cu 0.299 0.701 0.000
11 Cu 0.701 0.299 0.000

=====

# 6
Material: LiCoCuPt
Method: DFT, PBE
State: relaxed

Summary:
- Formation enthalpy at 0 K: -105 meV/atom
- V: 12.63 Å³ per atom
- Calculated total energy: -78.31 eV per cell

Lattice parameters (Å, degrees): 5.868 5.868 5.868 90.00 90.00 90.00
Sites, in units of the cell vectors:
1 Li 0.000 0.000 0.000
2 Li 0.000 0.500 0.500
3 Li 0.500 0.000 0.500
4 Li 0.500 0.500 0.000
5 Co 0.000 0.000 0.500
6 Co 0.000 0.500 0.000
7 Co 0.500 0.000 0.000
8 Co 0.500 0.500 0.500
9 Cu 0.250 0.250 0.250
10 Cu 0.250 0.750 0.750
11 Cu 0.750 0.250 0.750
12 Cu 0.750 0.750 0.250
13 Pt 0.250 0.250 0.750
14 Pt 0.250 0.750 0.250
15 Pt 0.750 0.250 0.250
16 Pt 0.750 0.750 0.750

=====

# 7
Material: AcAlSb2
Method: DFT, PBE
State: relaxed

Summary:
- Energy above the most stable polymorph in this dataset: 5.9 kJ/mol of atoms
- V: 29.01 Å³ per atom
- Calculated total energy: -17.69 eV per cell

Lattice parameters (Å, degrees): 4.199 4.199 6.582 90.00 90.00 90.00
Sites, in units of the cell vectors:
1 Ac 0.000 0.000 0.000
2 Al 0.000 0.000 0.500
3 Sb 0.500 0.500 0.278
4 Sb 0.500 0.500 0.722

=====

# 8
Material: Ba2ScSb
Method: DFT, PBE
State: relaxed

Summary:
- V: 35.30 Å³ per atom
- Calculated total energy: -30.04 eV per cell

Lattice parameters (Å, degrees): 5.031 5.031 11.158 90.00 90.00 90.00
Sites, in units of the cell vectors:
1 Ba 0.000 0.500 0.250
2 Ba 0.000 0.500 0.750
3 Ba 0.500 0.000 0.250
4 Ba 0.500 0.000 0.750
5 Sc 0.000 0.000 0.000
6 Sc 0.500 0.500 0.500
7 Sb 0.000 0.000 0.500
8 Sb 0.500 0.500 0.000

=====

# 9
Material: CaMn2Rh
Method: DFT, PBE
State: relaxed

Summary:
- Formation enthalpy at 0 K: 866 meV/atom
- V: 17.17 Å³ per atom
- Calculated total energy: -96.92 eV per cell

Lattice parameters (Å, degrees): 7.227 7.227 5.260 90.00 90.00 90.00
Sites, in units of the cell vectors:
1 Ca 0.000 0.000 0.000
2 Ca 0.000 0.500 0.250
3 Ca 0.500 0.000 0.750
4 Ca 0.500 0.500 0.500
5 Mn 0.192 0.250 0.625
6 Mn 0.250 0.692 0.875
7 Mn 0.250 0.808 0.375
8 Mn 0.308 0.250 0.125
9 Mn 0.692 0.750 0.125
10 Mn 0.750 0.192 0.375
11 Mn 0.750 0.308 0.875
12 Mn 0.808 0.750 0.625
13 Rh 0.000 0.000 0.500
14 Rh 0.000 0.500 0.750
15 Rh 0.500 0.000 0.250
16 Rh 0.500 0.500 0.000

=====

# 10
Material: Tb12Y3Er
Method: DFT, PBE
State: relaxed

Summary:
- Formation enthalpy at 0 K: 18 meV/atom
- V: 31.90 Å³ per atom
- Calculated total energy: -79.22 eV per cell

Lattice parameters (Å, degrees): 5.036 5.036 20.126 90.00 90.00 90.00
Sites, in units of the cell vectors:
1 Tb 0.000 0.000 0.000
2 Tb 0.000 0.000 0.249
3 Tb 0.000 0.000 0.500
4 Tb 0.000 0.000 0.751
5 Tb 0.000 0.500 0.124
6 Tb 0.000 0.500 0.375
7 Tb 0.000 0.500 0.625
8 Tb 0.000 0.500 0.876
9 Tb 0.500 0.000 0.124
10 Tb 0.500 0.000 0.375
11 Tb 0.500 0.000 0.625
12 Tb 0.500 0.000 0.876
13 Y 0.500 0.500 0.249
14 Y 0.500 0.500 0.500
15 Y 0.500 0.500 0.751
16 Er 0.500 0.500 0.000

=====

# 11
Material: Tb4Pr2ErSc
Method: DFT, PBE
State: relaxed

Summary:
- Formation enthalpy at 0 K: 36 meV/atom
- V: 31.83 Å³ per atom
- Calculated total energy: -38.69 eV per cell

Lattice parameters (Å, degrees): 5.038 5.041 10.027 90.00 90.04 90.00
Sites, in units of the cell vectors:
1 Tb 0.000 0.000 0.246
2 Tb 0.000 0.000 0.754
3 Tb 0.500 0.500 0.246
4 Tb 0.500 0.500 0.754
5 Pr 0.000 0.500 0.000
6 Pr 0.500 0.000 0.500
7 Er 0.000 0.500 0.500
8 Sc 0.500 0.000 0.000

=====

# 12
Material: TaBeW2
Method: DFT, PBE
State: relaxed

Summary:
- Formation enthalpy at 0 K: 259 meV/atom
- V: 15.39 Å³ per atom
- Calculated total energy: -80.90 eV per cell

Lattice parameters (Å, degrees): 3.768 3.768 8.675 90.00 90.00 90.00
Sites, in units of the cell vectors:
1 Ta 0.000 0.000 0.000
2 Ta 0.500 0.500 0.500
3 Be 0.000 0.000 0.500
4 Be 0.500 0.500 0.000
5 W 0.000 0.500 0.250
6 W 0.000 0.500 0.750
7 W 0.500 0.000 0.250
8 W 0.500 0.000 0.750